K2H2Pd, relaxed, DFT PBE; V = 24.4 A^3/atom; D(E_F) = 0.00 states/eV/atom; space group = P2_1/c (14); energy = -3.054 eV per atom
1.0
-4.181 -0.160 -6.776
6.320 -0.028 -3.900
0.905 -8.205 1.527
K H Pd
8 8 4
Direct
0.292 0.429 0.610
0.708 0.571 0.390
0.526 0.771 0.949
0.792 0.071 0.610
0.474 0.229 0.051
0.208 0.929 0.390
0.026 0.729 0.949
0.974 0.271 0.051
0.342 0.730 0.182
0.269 0.303 0.293
0.158 0.230 0.818
0.231 0.803 0.707
0.769 0.197 0.293
0.842 0.770 0.182
0.658 0.270 0.818
0.731 0.697 0.707
0.696 0.481 0.763
0.804 0.981 0.237
0.304 0.519 0.237
0.196 0.019 0.763